# 1
# PmSm9Sc2, optimized geometry, DFT PBE-GGA
data_PmSm9Sc2
_chemical_formula_sum 'Pm1 Sm9 Sc2'
_cell_length_a 5.047
_cell_length_b 5.047
_cell_length_c 15.134
_cell_angle_alpha 90.00
_cell_angle_beta 90.00
_cell_angle_gamma 90.00
_symmetry_space_group_name_H-M 'P 1'
_symmetry_Int_Tables_number 1
_symmetry_space_group_name_Hall 'P 1'
loop_
_atom_site_label
_atom_site_fract_x
_atom_site_fract_y
_atom_site_fract_z
Pm1 0.000 0.000 0.000
Sm1 0.500 0.500 0.000
Sm2 0.500 0.500 0.337
Sm3 0.500 0.500 0.663
Sm4 0.500 0.000 0.173
Sm5 0.500 0.000 0.500
Sm6 0.500 0.000 0.827
Sm7 0.000 0.500 0.173
Sm8 0.000 0.500 0.500
Sm9 0.000 0.500 0.827
Sc1 0.000 0.000 0.336
Sc2 0.000 0.000 0.664
# E_form ... 0.036 eV/atom

=====

# 2
# LaTe2BrN, optimized geometry, DFT PBE-GGA
data_LaTe2BrN
_chemical_formula_sum 'La1 Te2 Br1 N1'
_cell_length_a 6.630
_cell_length_b 6.630
_cell_length_c 4.009
_cell_angle_alpha 90.00
_cell_angle_beta 90.00
_cell_angle_gamma 90.00
_symmetry_space_group_name_H-M 'P 1'
_symmetry_Int_Tables_number 1
_symmetry_space_group_name_Hall 'P 1'
loop_
_atom_site_label
_atom_site_fract_x
_atom_site_fract_y
_atom_site_fract_z
N1 0.000 0.000 0.500
Te1 0.000 0.500 0.000
Te2 0.500 0.000 0.000
Br1 0.500 0.500 0.500
La1 0.000 0.000 0.000
# Raw formation energy ... 1.4 eV per formula unit
# Offset from the most stable computed form ... 0 meV/atom

=====

# 3
# Tm2Sn3Pd4, optimized geometry, DFT PBE-GGA
data_Tm2Sn3Pd4
_chemical_formula_sum 'Tm4 Sn6 Pd8'
_cell_length_a 6.009
_cell_length_b 7.464
_cell_length_c 8.784
_cell_angle_alpha 90.00
_cell_angle_beta 110.00
_cell_angle_gamma 90.00
_symmetry_space_group_name_H-M 'P 1'
_symmetry_Int_Tables_number 1
_symmetry_space_group_name_Hall 'P 1'
loop_
_atom_site_label
_atom_site_fract_x
_atom_site_fract_y
_atom_site_fract_z
Tm1 0.100 0.594 0.201
Tm2 0.900 0.406 0.799
Tm3 0.400 0.094 0.799
Tm4 0.600 0.906 0.201
Sn1 0.000 0.000 0.000
Sn2 0.500 0.500 0.000
Sn3 0.512 0.750 0.524
Sn4 0.988 0.250 0.476
Sn5 0.488 0.250 0.476
Sn6 0.012 0.750 0.524
Pd1 0.681 0.750 0.861
Pd2 0.819 0.250 0.139
Pd3 0.319 0.250 0.139
Pd4 0.181 0.750 0.861
Pd5 0.164 0.976 0.329
Pd6 0.836 0.024 0.671
Pd7 0.336 0.476 0.671
Pd8 0.664 0.524 0.329
# E_form ... -0.742 eV/atom
# Offset from the most stable computed form ... 0 meV/atom

=====

# 4
# PaAl2Ag, optimized geometry, DFT PBE-GGA
data_PaAl2Ag
_chemical_formula_sum 'Pa1 Al2 Ag1'
_cell_length_a 4.241
_cell_length_b 4.412
_cell_length_c 4.412
_cell_angle_alpha 90.00
_cell_angle_beta 90.00
_cell_angle_gamma 90.00
_symmetry_space_group_name_H-M 'P 1'
_symmetry_Int_Tables_number 1
_symmetry_space_group_name_Hall 'P 1'
loop_
_atom_site_label
_atom_site_fract_x
_atom_site_fract_y
_atom_site_fract_z
Pa1 0.500 0.500 0.500
Al1 0.000 0.000 0.500
Al2 0.000 0.500 0.000
Ag1 0.500 0.000 0.000
# E_form ... -0.001 eV/atom
# Offset from the most stable computed form ... 126 meV/atom

=====

# 5
# CeTcNiH6, optimized geometry, DFT PBE-GGA
data_CeTcNiH6
_chemical_formula_sum 'Ce1 Tc1 Ni1 H6'
_cell_length_a 4.518
_cell_length_b 4.518
_cell_length_c 4.396
_cell_angle_alpha 90.00
_cell_angle_beta 90.00
_cell_angle_gamma 60.00
_symmetry_space_group_name_H-M 'P 1'
_symmetry_Int_Tables_number 1
_symmetry_space_group_name_Hall 'P 1'
loop_
_atom_site_label
_atom_site_fract_x
_atom_site_fract_y
_atom_site_fract_z
Ce1 0.000 0.000 0.000
Tc1 0.333 0.333 0.500
Ni1 0.667 0.667 0.500
H1 0.997 0.501 0.233
H2 0.501 0.997 0.767
H3 0.501 0.501 0.767
H4 0.997 0.501 0.767
H5 0.501 0.501 0.233
H6 0.501 0.997 0.233
# E ... -44.28 eV for the cell shown

=====

# 6
# NdDyNiOs, optimized geometry, DFT PBE-GGA
data_NdDyNiOs
_chemical_formula_sum 'Nd1 Dy1 Ni1 Os1'
_cell_length_a 4.887
_cell_length_b 4.887
_cell_length_c 4.887
_cell_angle_alpha 60.00
_cell_angle_beta 60.00
_cell_angle_gamma 60.00
_symmetry_space_group_name_H-M 'P 1'
_symmetry_Int_Tables_number 1
_symmetry_space_group_name_Hall 'P 1'
loop_
_atom_site_label
_atom_site_fract_x
_atom_site_fract_y
_atom_site_fract_z
Ni1 0.250 0.250 0.250
Nd1 0.500 0.500 0.500
Os1 0.750 0.750 0.750
Dy1 0.000 0.000 0.000
# E_form ... -0.164 eV/atom

=====

# 7
# CrIr2Se, optimized geometry, DFT PBE-GGA
data_CrIr2Se
_chemical_formula_sum 'Cr1 Ir2 Se1'
_cell_length_a 3.855
_cell_length_b 2.849
_cell_length_c 5.577
_cell_angle_alpha 75.24
_cell_angle_beta 90.00
_cell_angle_gamma 90.00
_symmetry_space_group_name_H-M 'P 1'
_symmetry_Int_Tables_number 1
_symmetry_space_group_name_Hall 'P 1'
loop_
_atom_site_label
_atom_site_fract_x
_atom_site_fract_y
_atom_site_fract_z
Cr1 0.500 0.687 0.751
Ir1 0.000 0.072 0.981
Ir2 0.500 0.444 0.237
Se1 0.000 0.297 0.531
# Raw formation energy ... 0.9 eV per formula unit

=====

# 8
# LiNp3U3S8, optimized geometry, DFT PBE-GGA
data_LiNp3U3S8
_chemical_formula_sum 'Li1 Np3 U3 S8'
_cell_length_a 7.810
_cell_length_b 7.809
_cell_length_c 7.616
_cell_angle_alpha 119.62
_cell_angle_beta 89.98
_cell_angle_gamma 121.22
_symmetry_space_group_name_H-M 'P 1'
_symmetry_Int_Tables_number 1
_symmetry_space_group_name_Hall 'P 1'
loop_
_atom_site_label
_atom_site_fract_x
_atom_site_fract_y
_atom_site_fract_z
Li1 0.000 0.000 0.500
Np1 0.500 0.000 0.500
Np2 0.500 0.500 0.500
Np3 0.000 0.500 0.500
U1 0.000 0.000 0.000
U2 0.000 0.500 0.000
U3 0.500 0.500 0.000
S1 0.250 0.501 0.251
S2 0.750 0.499 0.749
S3 0.754 0.508 0.251
S4 0.246 0.492 0.749
S5 0.754 0.997 0.251
S6 0.246 0.003 0.749
S7 0.244 0.998 0.251
S8 0.756 0.002 0.749
# Raw formation energy ... -20.1 eV per formula unit

=====

# 9
# VNi4Pt3, optimized geometry, DFT PBE-GGA
data_VNi4Pt3
_chemical_formula_sum 'V1 Ni4 Pt3'
_cell_length_a 3.795
_cell_length_b 3.787
_cell_length_c 9.373
_cell_angle_alpha 127.31
_cell_angle_beta 101.68
_cell_angle_gamma 90.00
_symmetry_space_group_name_H-M 'P 1'
_symmetry_Int_Tables_number 1
_symmetry_space_group_name_Hall 'P 1'
loop_
_atom_site_label
_atom_site_fract_x
_atom_site_fract_y
_atom_site_fract_z
V1 0.500 0.000 0.000
Ni1 0.620 0.861 0.240
Ni2 0.380 0.139 0.760
Ni3 0.880 0.640 0.760
Ni4 0.120 0.360 0.240
Pt1 0.000 0.500 0.000
Pt2 0.248 0.243 0.495
Pt3 0.752 0.757 0.505
# E_form ... -0.232 eV/atom
# Offset from the most stable computed form ... 0 meV/atom

=====

# 10
# Tm6OsPd2, optimized geometry, DFT PBE-GGA
data_Tm6OsPd2
_chemical_formula_sum 'Tm12 Os2 Pd4'
_cell_length_a 8.197
_cell_length_b 8.197
_cell_length_c 8.197
_cell_angle_alpha 108.52
_cell_angle_beta 110.86
_cell_angle_gamma 109.04
_symmetry_space_group_name_H-M 'P 1'
_symmetry_Int_Tables_number 1
_symmetry_space_group_name_Hall 'P 1'
loop_
_atom_site_label
_atom_site_fract_x
_atom_site_fract_y
_atom_site_fract_z
Tm1 0.567 0.741 0.826
Tm2 0.433 0.259 0.174
Tm3 0.086 0.259 0.826
Tm4 0.914 0.741 0.174
Tm5 0.813 0.743 0.557
Tm6 0.187 0.257 0.443
Tm7 0.187 0.743 0.930
Tm8 0.813 0.257 0.070
Tm9 0.715 0.382 0.667
Tm10 0.285 0.618 0.333
Tm11 0.285 0.952 0.667
Tm12 0.715 0.048 0.333
Os1 0.000 0.500 0.500
Os2 0.000 0.000 0.000
Pd1 0.500 0.363 0.863
Pd2 0.500 0.637 0.137
Pd3 0.655 0.000 0.655
Pd4 0.345 0.000 0.345
# E_form ... -0.512 eV/atom

=====

# 11
# Tm2MgRu, optimized geometry, DFT PBE-GGA
data_Tm2MgRu
_chemical_formula_sum 'Tm2 Mg1 Ru1'
_cell_length_a 4.956
_cell_length_b 4.956
_cell_length_c 4.956
_cell_angle_alpha 60.00
_cell_angle_beta 60.00
_cell_angle_gamma 60.00
_symmetry_space_group_name_H-M 'P 1'
_symmetry_Int_Tables_number 1
_symmetry_space_group_name_Hall 'P 1'
loop_
_atom_site_label
_atom_site_fract_x
_atom_site_fract_y
_atom_site_fract_z
Ru1 0.000 0.000 0.000
Mg1 0.500 0.500 0.500
Tm1 0.250 0.250 0.250
Tm2 0.750 0.750 0.750
# E_form ... -0.239 eV/atom
# Offset from the most stable computed form ... 109 meV/atom

=====

no.,calculated volume (A^3/atom)
1,32.1
2,35.2
3,20.6
4,20.6
5,8.6
6,20.6
7,14.8
8,21.6
9,13.0
10,23.5
11,21.5